## w
The following is a GGA-PBE calculation of a relaxed Y3InBi crystal, from Alexandria via LeMat-Bulk. Values from VASP.

Results
- space-group type = Cmmm, No. 65
- magnetic moment (Bohr magnetons per cell) = 0.2
- density of states at the Fermi level (states/eV/atom) = 0.895

Quantum ESPRESSO input file:
```
&SYSTEM
  ibrav = 0, nat = 10, ntyp = 3
/
ATOMIC_SPECIES
In 114.82 In.upf
Bi 208.98 Bi.upf
Y 88.91 Y.upf
ATOMIC_POSITIONS crystal
In 0.0000 0.5983 0.1966
In 0.0000 0.4017 0.8034
Bi 0.5000 0.1071 0.2142
Bi 0.5000 0.8929 0.7858
Y 0.5000 0.3072 0.0000
Y 0.5000 0.6928 0.0000
Y 0.5000 0.5000 0.5000
Y 0.5000 0.0000 0.5000
Y 0.0000 0.2068 0.4136
Y 0.0000 0.7932 0.5864
CELL_PARAMETERS angstrom
-3.2296 -3.1908 2.6970
6.0096 -1.4899 5.4337
-5.4602 6.9680 1.7052
```



## x
The following is a GGA-PBE calculation of a relaxed Y3InBi crystal, from Alexandria via LeMat-Bulk. Values from VASP.

Results
- space-group type = Pm-3m, No. 221
- magnetic moment (Bohr magnetons per cell) = 0.0
- density of states at the Fermi level (states/eV/atom) = 0.901

Quantum ESPRESSO input file:
```
&SYSTEM
  ibrav = 0, nat = 5, ntyp = 3
/
ATOMIC_SPECIES
In 114.82 In.upf
Bi 208.98 Bi.upf
Y 88.91 Y.upf
ATOMIC_POSITIONS crystal
In 0.0000 0.0000 0.0000
Bi 0.5000 0.5000 0.5000
Y 0.5000 0.0000 0.0000
Y 0.0000 0.0000 0.5000
Y 0.0000 0.5000 0.0000
CELL_PARAMETERS angstrom
5.6486 0.0000 0.0000
0.0000 5.6486 0.0000
0.0000 0.0000 5.6486
```



The least stable of them is x.



## w
The following is a GGA-PBE calculation of a relaxed Zn2In2Bi crystal, from Alexandria via LeMat-Bulk. Values from VASP.

Results
- space-group type = I4/mmm, No. 139
- magnetic moment (Bohr magnetons per cell) = 0.0
- density of states at the Fermi level (states/eV/atom) = 0.303

Quantum ESPRESSO input file:
```
&SYSTEM
  ibrav = 0, nat = 5, ntyp = 3
/
ATOMIC_SPECIES
Bi 208.98 Bi.upf
Zn 65.41 Zn.upf
In 114.82 In.upf
ATOMIC_POSITIONS crystal
Bi 0.0000 0.0000 0.0000
Zn 0.5975 0.5975 0.8050
Zn 0.4025 0.4025 0.1950
In 0.7500 0.2500 0.5000
In 0.2500 0.7500 0.5000
CELL_PARAMETERS angstrom
4.3727 0.0000 0.0000
0.0000 4.3727 0.0000
2.1864 2.1864 6.2246
```



## x
The following is a GGA-PBE calculation of a relaxed Zn2In2Bi crystal, from Alexandria via LeMat-Bulk. Values from VASP.

Results
- space-group type = P4/mbm, No. 127
- magnetic moment (Bohr magnetons per cell) = 0.0
- density of states at the Fermi level (states/eV/atom) = 0.367

Quantum ESPRESSO input file:
```
&SYSTEM
  ibrav = 0, nat = 10, ntyp = 3
/
ATOMIC_SPECIES
Zn 65.41 Zn.upf
In 114.82 In.upf
Bi 208.98 Bi.upf
ATOMIC_POSITIONS crystal
Zn 0.1199 0.3801 0.0000
Zn 0.8801 0.6199 0.0000
Zn 0.3801 0.8801 0.0000
Zn 0.6199 0.1199 0.0000
In 0.3233 0.1767 0.5000
In 0.1767 0.6767 0.5000
In 0.8233 0.3233 0.5000
In 0.6767 0.8233 0.5000
Bi 0.0000 0.0000 0.0000
Bi 0.5000 0.5000 0.0000
CELL_PARAMETERS angstrom
7.6099 0.0000 0.0000
0.0000 7.6099 0.0000
0.0000 0.0000 4.1717
```



## y
The following is a GGA-PBE calculation of a relaxed Zn2In2Bi crystal, from Alexandria via LeMat-Bulk. Values from VASP.

Results
- space-group type = I4/mmm, No. 139
- magnetic moment (Bohr magnetons per cell) = 0.0
- density of states at the Fermi level (states/eV/atom) = 0.482

Quantum ESPRESSO input file:
```
&SYSTEM
  ibrav = 0, nat = 5, ntyp = 3
/
ATOMIC_SPECIES
Zn 65.41 Zn.upf
In 114.82 In.upf
Bi 208.98 Bi.upf
ATOMIC_POSITIONS crystal
Zn 0.2500 0.7500 0.5000
Zn 0.7500 0.2500 0.5000
In 0.6181 0.6181 0.7637
In 0.3819 0.3819 0.2363
Bi 0.0000 0.0000 0.0000
CELL_PARAMETERS angstrom
3.6803 0.0000 0.0000
0.0000 3.6803 0.0000
1.8401 1.8401 9.2998
```



The least stable of them is w.



## w
The following is a GGA-PBE calculation of a relaxed ZnIn3Bi crystal, from Alexandria via LeMat-Bulk. Values from VASP.

Results
- space-group type = Pm-3m, No. 221
- magnetic moment (Bohr magnetons per cell) = 0.0
- density of states at the Fermi level (states/eV/atom) = 0.341

Quantum ESPRESSO input file:
```
&SYSTEM
  ibrav = 0, nat = 5, ntyp = 3
/
ATOMIC_SPECIES
In 114.82 In.upf
Bi 208.98 Bi.upf
Zn 65.41 Zn.upf
ATOMIC_POSITIONS crystal
In 0.0000 0.5000 0.0000
In 0.5000 0.0000 0.0000
In 0.0000 0.0000 0.5000
Bi 0.5000 0.5000 0.5000
Zn 0.0000 0.0000 0.0000
CELL_PARAMETERS angstrom
-3.5533 2.1666 -3.2249
2.2570 -2.4060 -4.1033
-3.1623 -4.1517 0.6950
```



## x
The following is a GGA-PBE calculation of a relaxed ZnIn3Bi crystal, from Alexandria via LeMat-Bulk. Values from VASP.

Results
- space-group type = Pm-3m, No. 221
- magnetic moment (Bohr magnetons per cell) = 0.0
- density of states at the Fermi level (states/eV/atom) = 0.818

Quantum ESPRESSO input file:
```
&SYSTEM
  ibrav = 0, nat = 5, ntyp = 3
/
ATOMIC_SPECIES
In 114.82 In.upf
Zn 65.41 Zn.upf
Bi 208.98 Bi.upf
ATOMIC_POSITIONS crystal
In 0.5000 0.0000 0.0000
In 0.0000 0.0000 0.5000
In 0.0000 0.5000 0.0000
Zn 0.5000 0.5000 0.5000
Bi 0.0000 0.0000 0.0000
CELL_PARAMETERS angstrom
-0.9920 -4.3632 -3.9476
-2.6799 -3.2289 4.2423
-5.2383 2.4782 -1.4228
```



The least stable of them is x.



## w
The following is a GGA-PBE calculation of a relaxed ZnInBi3 crystal, from Alexandria via LeMat-Bulk. Values from VASP.

Results
- space-group type = Pm-3m, No. 221
- magnetic moment (Bohr magnetons per cell) = 0.0
- density of states at the Fermi level (states/eV/atom) = 1.013

Quantum ESPRESSO input file:
```
&SYSTEM
  ibrav = 0, nat = 5, ntyp = 3
/
ATOMIC_SPECIES
Bi 208.98 Bi.upf
Zn 65.41 Zn.upf
In 114.82 In.upf
ATOMIC_POSITIONS crystal
Bi 0.0000 0.0000 0.5000
Bi 0.0000 0.5000 0.0000
Bi 0.5000 0.0000 0.0000
Zn 0.0000 0.0000 0.0000
In 0.5000 0.5000 0.5000
CELL_PARAMETERS angstrom
5.4928 0.0000 0.0000
0.0000 5.4928 0.0000
0.0000 0.0000 5.4928
```



## x
The following is a GGA-PBE calculation of a relaxed ZnInBi3 crystal, from Alexandria via LeMat-Bulk. Values from VASP.

Results
- space-group type = Pm-3m, No. 221
- magnetic moment (Bohr magnetons per cell) = 0.0
- density of states at the Fermi level (states/eV/atom) = 1.015

Quantum ESPRESSO input file:
```
&SYSTEM
  ibrav = 0, nat = 5, ntyp = 3
/
ATOMIC_SPECIES
Zn 65.41 Zn.upf
Bi 208.98 Bi.upf
In 114.82 In.upf
ATOMIC_POSITIONS crystal
Zn 0.5000 0.5000 0.5000
Bi 0.0000 0.0000 0.5000
Bi 0.5000 0.0000 0.0000
Bi 0.0000 0.5000 0.0000
In 0.0000 0.0000 0.0000
CELL_PARAMETERS angstrom
-4.3057 1.1130 3.7585
-2.8744 -4.6925 -1.9033
2.6652 -3.2628 4.0194
```



The least stable of them is x.